No. 1
Entry from Alexandria via LeMat-Bulk: In4CuAg after structural relaxation (PBE-GGA).

Values from the calculation:
**E above lowest polymorph**: 0 meV per atom
**Theoretical density**: 7.9 g cm⁻³
**Electronic total energy**: -35.77 eV for the cell shown
**Energy relative to the elements**: 0.0 eV per formula unit
**SG**: I4/mcm, No. 140
**Spin magnetization**: 0.0 μB/cell

a = 7.5018 Å, b = 7.5018 Å, c = 7.5018 Å
α = 126.13°, β = 126.13°, γ = 79.67°
Last column: nearest neighbours and their distance in Å.
Fractional coordinates of all 12 atoms:
In: 0.0226 0.5226 0.8190  2 Cu 2.87, 2 Ag 3.00, 3 In 3.07-3.15
In: 0.2037 0.0226 0.5000  2 Cu 2.87, 2 Ag 3.00, 3 In 3.07-3.15
In: 0.2963 0.7963 0.8190  2 Cu 2.87, 2 Ag 3.00, 3 In 3.07-3.15
In: 0.4774 0.2963 0.5000  2 Cu 2.87, 2 Ag 3.00, 3 In 3.07-3.15
In: 0.5226 0.7037 0.5000  2 Cu 2.87, 2 Ag 3.00, 3 In 3.07-3.15
In: 0.7037 0.2037 0.1810  2 Cu 2.87, 2 Ag 3.00, 3 In 3.07-3.15
In: 0.7963 0.9774 0.5000  2 Cu 2.87, 2 Ag 3.00, 3 In 3.07-3.15
In: 0.9774 0.4774 0.1810  2 Cu 2.87, 2 Ag 3.00, 3 In 3.07-3.15
Cu: 0.2500 0.2500 0.0000  8 In 2.87, 2 Ag 2.88
Cu: 0.7500 0.7500 0.0000  8 In 2.87, 2 Ag 2.88
Ag: 0.0000 0.0000 0.0000  2 Cu 2.88, 8 In 3.00
Ag: 0.5000 0.5000 0.0000  2 Cu 2.88, 8 In 3.00


No. 2
Entry from Alexandria via LeMat-Bulk: In2CuAg after structural relaxation (PBE-GGA).

Values from the calculation:
**E above lowest polymorph**: 168 meV per atom
**Theoretical density**: 8.2 g cm⁻³
**Electronic total energy**: -11.54 eV for the cell shown
**Energy relative to the elements**: 0.9 eV per formula unit
**SG**: F-43m, No. 216
**Spin magnetization**: 0.0 μB/cell

a = 4.8659 Å, b = 4.8659 Å, c = 4.8659 Å
α = 60.00°, β = 60.00°, γ = 60.00°
Last column: nearest neighbours and their distance in Å.
Fractional coordinates of all 4 atoms:
In: 0.0000 0.0000 0.0000  4 Ag 2.98, 4 In 2.98
In: 0.2500 0.2500 0.2500  4 Cu 2.98, 4 In 2.98
Cu: 0.5000 0.5000 0.5000  4 In 2.98, 4 Ag 2.98
Ag: 0.7500 0.7500 0.7500  4 Cu 2.98, 4 In 2.98


No. 3
Entry from Alexandria via LeMat-Bulk: InCu2Ag8 after structural relaxation (PBE-GGA).

Values from the calculation:
**Theoretical density**: 9.6 g cm⁻³
**Electronic total energy**: -33.10 eV for the cell shown
**Energy relative to the elements**: 0.6 eV per formula unit
**SG**: C2/m, No. 12
**Spin magnetization**: 0.0 μB/cell

a = 7.5766 Å, b = 7.5766 Å, c = 6.6203 Å
α = 106.94°, β = 106.94°, γ = 31.84°
Last column: nearest neighbours and their distance in Å.
Fractional coordinates of all 11 atoms:
In: 0.0000 0.0000 0.0000  12 Ag 2.89-3.00
Cu: 0.2730 0.2730 0.3651  10 Ag 2.72-3.00, 2 Cu 2.95
Cu: 0.7270 0.7270 0.6349  10 Ag 2.72-3.00, 2 Cu 2.95
Ag: 0.1007 0.1007 0.4667  3 Cu 2.78-2.79, 8 Ag 2.88-3.10, 1 In 2.99
Ag: 0.1840 0.1840 0.9200  8 Ag 2.81-2.98, 3 Cu 2.84-3.00, 1 In 2.89
Ag: 0.3535 0.3535 0.7928  3 Cu 2.72-2.76, 6 Ag 2.84-3.02, 2 In 3.00
Ag: 0.4507 0.4507 0.2759  1 Cu 2.83, 9 Ag 2.88-3.08, 2 In 2.99
Ag: 0.5493 0.5493 0.7241  1 Cu 2.83, 9 Ag 2.88-3.08, 2 In 2.99
Ag: 0.6465 0.6465 0.2072  3 Cu 2.72-2.76, 6 Ag 2.84-3.02, 2 In 3.00
Ag: 0.8160 0.8160 0.0800  8 Ag 2.81-2.98, 3 Cu 2.84-3.00, 1 In 2.89
Ag: 0.8993 0.8993 0.5333  3 Cu 2.78-2.79, 8 Ag 2.88-3.10, 1 In 2.99


No. 4
Entry from Alexandria via LeMat-Bulk: In2Cu2Ag after structural relaxation (PBE-GGA).

Values from the calculation:
**E above lowest polymorph**: 238 meV per atom
**Theoretical density**: 7.6 g cm⁻³
**Electronic total energy**: -14.95 eV for the cell shown
**Energy relative to the elements**: 1.6 eV per formula unit
**SG**: I4/mmm, No. 139
**Spin magnetization**: 0.0 μB/cell

a = 6.3632 Å, b = 6.3632 Å, c = 6.3632 Å
α = 140.95°, β = 140.95°, γ = 56.41°
Last column: nearest neighbours and their distance in Å.
Fractional coordinates of all 5 atoms:
In: 0.2500 0.7500 0.5000  4 Cu 2.69, 4 In 3.01
In: 0.7500 0.2500 0.5000  4 Cu 2.69, 4 In 3.01
Cu: 0.1034 0.1034 0.0000  1 Cu 2.32
Cu: 0.8966 0.8966 0.0000  1 Cu 2.32
Ag: 0.5000 0.5000 0.0000  8 Cu 3.22, 8 In 3.52


No. 5
Entry from Alexandria via LeMat-Bulk: In2CuAg after structural relaxation (PBE-GGA).

Values from the calculation:
**E above lowest polymorph**: 48 meV per atom
**Theoretical density**: 8.5 g cm⁻³
**Electronic total energy**: -12.02 eV for the cell shown
**Energy relative to the elements**: 0.4 eV per formula unit
**SG**: P2/m, No. 10
**Spin magnetization**: 0.0 μB/cell

a = 3.1665 Å, b = 3.7457 Å, c = 6.6358 Å
α = 90.00°, β = 90.38°, γ = 90.00°
Last column: nearest neighbours and their distance in Å.
Fractional coordinates of all 4 atoms:
In: 0.0013 0.0000 0.2664  4 Cu 2.89-2.91, 4 Ag 3.02-3.03, 3 In 3.10-3.17
In: 0.9987 0.0000 0.7336  4 Cu 2.89-2.91, 4 Ag 3.02-3.03, 3 In 3.10-3.17
Cu: 0.5000 0.5000 0.5000  8 In 2.89-2.91, 2 Cu 3.17
Ag: 0.5000 0.5000 0.0000  8 In 3.02-3.03, 2 Ag 3.17, 2 Cu 3.32


No. 6
Entry from Alexandria via LeMat-Bulk: In2CuAg after structural relaxation (PBE-GGA).

Values from the calculation:
**E above lowest polymorph**: 32 meV per atom
**Theoretical density**: 8.5 g cm⁻³
**Electronic total energy**: -12.08 eV for the cell shown
**Energy relative to the elements**: 0.3 eV per formula unit
**SG**: P4/mmm, No. 123
**Spin magnetization**: 0.0 μB/cell

a = 3.1314 Å, b = 3.1314 Å, c = 7.9826 Å
α = 90.00°, β = 90.00°, γ = 90.00°
Last column: nearest neighbours and their distance in Å.
Fractional coordinates of all 4 atoms:
In: 0.0000 0.0000 0.2256  4 Cu 2.85, 4 Ag 3.11, 4 In 3.13
In: 0.0000 0.0000 0.7744  4 Cu 2.85, 4 Ag 3.11, 4 In 3.13
Cu: 0.5000 0.5000 0.0000  8 In 2.85, 4 Cu 3.13
Ag: 0.5000 0.5000 0.5000  8 In 3.11, 4 Ag 3.13


No. 7
Entry from Alexandria via LeMat-Bulk: InCu6Ag after structural relaxation (PBE-GGA).

Values from the calculation:
**Theoretical density**: 9.0 g cm⁻³
**Electronic total energy**: -29.93 eV for the cell shown
**Energy relative to the elements**: 0.2 eV per formula unit
**SG**: P-6m2, No. 187
**Spin magnetization**: 0.0 μB/cell

a = 5.4028 Å, b = 5.4028 Å, c = 4.4052 Å
α = 90.00°, β = 90.00°, γ = 120.00°
Last column: nearest neighbours and their distance in Å.
Fractional coordinates of all 8 atoms:
In: 0.0000 0.0000 0.0000  12 Cu 2.70-2.75
Cu: 0.3503 0.1752 0.5000  8 Cu 2.56-2.84, 2 Ag 2.70, 2 In 2.75
Cu: 0.5069 0.0138 0.0000  8 Cu 2.59-2.81, 2 In 2.70, 2 Ag 2.74
Cu: 0.5069 0.4931 0.0000  8 Cu 2.59-2.81, 2 In 2.70, 2 Ag 2.74
Cu: 0.8248 0.1752 0.5000  8 Cu 2.56-2.84, 2 Ag 2.70, 2 In 2.75
Cu: 0.8248 0.6497 0.5000  8 Cu 2.56-2.84, 2 Ag 2.70, 2 In 2.75
Cu: 0.9862 0.4931 0.0000  8 Cu 2.59-2.81, 2 In 2.70, 2 Ag 2.74
Ag: 0.3333 0.6667 0.5000  12 Cu 2.70-2.74


No. 8
Entry from Alexandria via LeMat-Bulk: InCuAg2 after structural relaxation (PBE-GGA).

Values from the calculation:
**Theoretical density**: 9.2 g cm⁻³
**Electronic total energy**: -12.21 eV for the cell shown
**Energy relative to the elements**: 0.3 eV per formula unit
**SG**: P2/m, No. 10
**Spin magnetization**: 0.0 μB/cell

a = 2.9468 Å, b = 4.5346 Å, c = 5.4925 Å
α = 90.00°, β = 103.10°, γ = 90.00°
Last column: nearest neighbours and their distance in Å.
Fractional coordinates of all 4 atoms:
In: 0.0000 0.0000 0.0000  2 Cu 2.81, 2 In 2.95, 4 Ag 2.97
Cu: 0.5000 0.0000 0.5000  4 Ag 2.72, 2 In 2.81, 2 Cu 2.95
Ag: 0.3158 0.5000 0.7322  2 Cu 2.72, 5 Ag 2.80-2.99, 2 In 2.97
Ag: 0.6842 0.5000 0.2678  2 Cu 2.72, 5 Ag 2.80-2.99, 2 In 2.97


No. 9
Entry from Alexandria via LeMat-Bulk: InCuAg2 after structural relaxation (PBE-GGA).

Values from the calculation:
**Theoretical density**: 8.9 g cm⁻³
**Electronic total energy**: -11.81 eV for the cell shown
**Energy relative to the elements**: 0.7 eV per formula unit
**SG**: R-3m, No. 166
**Spin magnetization**: 0.0 μB/cell

a = 9.1598 Å, b = 9.1598 Å, c = 9.1598 Å
α = 19.29°, β = 19.29°, γ = 19.29°
Last column: nearest neighbours and their distance in Å.
Fractional coordinates of all 4 atoms:
In: 0.0000 0.0000 0.0000  6 Ag 3.03, 6 In 3.07
Cu: 0.5000 0.5000 0.5000  6 Ag 2.70
Ag: 0.2422 0.2422 0.2422  3 Cu 2.70
Ag: 0.7578 0.7578 0.7578  3 Cu 2.70


No. 10
Entry from Alexandria via LeMat-Bulk: In2CuAg after structural relaxation (PBE-GGA).

Values from the calculation:
**E above lowest polymorph**: 64 meV per atom
**Theoretical density**: 8.4 g cm⁻³
**Electronic total energy**: -11.96 eV for the cell shown
**Energy relative to the elements**: 0.5 eV per formula unit
**SG**: P4/mmm, No. 123
**Spin magnetization**: 0.0 μB/cell

a = 4.4184 Å, b = 4.4184 Å, c = 4.0410 Å
α = 90.00°, β = 90.00°, γ = 90.00°
Last column: nearest neighbours and their distance in Å.
Fractional coordinates of all 4 atoms:
In: 0.0000 0.5000 0.0000  4 Cu 2.99, 4 Ag 2.99, 4 In 3.12
In: 0.5000 0.0000 0.0000  4 Cu 2.99, 4 Ag 2.99, 4 In 3.12
Cu: 0.0000 0.0000 0.5000  8 In 2.99, 4 Ag 3.12
Ag: 0.5000 0.5000 0.5000  8 In 2.99, 4 Cu 3.12


No. 11
Entry from Alexandria via LeMat-Bulk: InCuAg2 after structural relaxation (PBE-GGA).

Values from the calculation:
**Theoretical density**: 8.8 g cm⁻³
**Electronic total energy**: -11.89 eV for the cell shown
**Energy relative to the elements**: 0.6 eV per formula unit
**SG**: R3m, No. 160
**Spin magnetization**: 0.0 μB/cell

a = 8.7621 Å, b = 8.7621 Å, c = 8.7621 Å
α = 20.76°, β = 20.76°, γ = 20.76°
Last column: nearest neighbours and their distance in Å.
Fractional coordinates of all 4 atoms:
In: 0.0000 0.0000 0.0000  3 Cu 2.72, 3 Ag 2.96
Cu: 0.2547 0.2547 0.2547  3 Ag 2.68, 3 In 2.72
Ag: 0.5118 0.5118 0.5118  3 Cu 2.68, 3 Ag 2.90
Ag: 0.7574 0.7574 0.7574  9 Ag 2.90-3.16, 3 In 2.96


No. 12
Entry from Alexandria via LeMat-Bulk: In3CuAg after structural relaxation (PBE-GGA).

Values from the calculation:
**E above lowest polymorph**: 0 meV per atom
**Theoretical density**: 6.6 g cm⁻³
**Electronic total energy**: -13.88 eV for the cell shown
**Energy relative to the elements**: 1.3 eV per formula unit
**SG**: Pm-3m, No. 221
**Spin magnetization**: 0.0 μB/cell

a = 5.0546 Å, b = 5.0546 Å, c = 5.0546 Å
α = 90.00°, β = 90.00°, γ = 90.00°
Last column: nearest neighbours and their distance in Å.
Fractional coordinates of all 5 atoms:
In: 0.0000 0.0000 0.5000  2 Cu 2.53
In: 0.0000 0.5000 0.0000  2 Cu 2.53
In: 0.5000 0.0000 0.0000  2 Cu 2.53
Cu: 0.0000 0.0000 0.0000  6 In 2.53
Ag: 0.5000 0.5000 0.5000  12 In 3.57


No. 13
Entry from Alexandria via LeMat-Bulk: InCuAg2 after structural relaxation (PBE-GGA).

Values from the calculation:
**Theoretical density**: 9.3 g cm⁻³
**Electronic total energy**: -12.39 eV for the cell shown
**Energy relative to the elements**: 0.1 eV per formula unit
**SG**: I4/mmm, No. 139
**Spin magnetization**: 0.0 μB/cell

a = 5.1561 Å, b = 5.1561 Å, c = 5.1561 Å
α = 133.73°, β = 133.73°, γ = 67.51°
Last column: nearest neighbours and their distance in Å.
Fractional coordinates of all 4 atoms:
In: 0.0000 0.0000 0.0000  4 Cu 2.86, 8 Ag 2.95
Cu: 0.5000 0.5000 0.0000  4 In 2.86, 8 Ag 2.95
Ag: 0.2500 0.7500 0.5000  4 Ag 2.86, 4 In 2.95, 4 Cu 2.95
Ag: 0.7500 0.2500 0.5000  4 Ag 2.86, 4 In 2.95, 4 Cu 2.95